Record 1
A geometry-optimized Pa3Bi2C structure, computed with PBE-GGA.

The structure belongs to space group Immm (No. 71); the cell edges are 3.338, 5.929 and 15.157 Å and the angles 90.00°, 90.00° and 90.00°. The distinct sites, in fractional coordinates, are Pa at (0.000, 0.000, 0.000), Pa at (0.000, 0.000, 0.389), Bi at (0.000, 0.500, 0.312) and C at (0.000, 0.500, 0.000).

The excess energy over the best structure of this formula in the dataset comes out at 9.6 kJ/mol of atoms. Its formation enthalpy at 0 K is -0.115 eV/atom. Its raw total energy is -7.69 eV per atom.

=====

Record 2
A geometry-optimized Pa3Bi2C structure, computed with PBE-GGA.

The structure belongs to space group P2/m (No. 10); the cell edges are 4.809, 3.370 and 10.439 Å and the angles 90.00°, 103.20° and 90.00°. The distinct sites, in fractional coordinates, are Pa at (0.000, 0.000, 0.000), Pa at (0.415, 0.500, 0.828), Bi at (0.167, 0.000, 0.339) and C at (0.500, 0.000, 0.000).

The excess energy over the best structure of this formula in the dataset comes out at 0.0 kJ/mol of atoms. Its formation enthalpy at 0 K is -0.215 eV/atom. Its raw total energy is -7.79 eV per atom.

=====

Record 3
A geometry-optimized Pa12Bi6C structure, computed with PBE-GGA.

The structure belongs to space group R-3 (No. 148, hexagonal axes); the cell edges are 11.7907, 11.7907 and 12.7058 Å and the angles 90.00°, 90.00° and 120.00°. The distinct sites, in fractional coordinates, are Pa at (0.0515, 0.8723, 0.3041), Pa at (0.0565, 0.1957, 0.8944), Bi at (0.0264, 0.5907, 0.2193) and C at (0.0000, 0.0000, 0.0000).

Its formation enthalpy at 0 K is 0.037 eV/atom. Its raw total energy is -7.67 eV per atom.